# LaYSc, optimized geometry, DFT PBE-GGA
# * V: 93.5 Å³ per cell
# * formation enthalpy at 0 K: 0.06 eV per atom
# * ΔE to the lowest computed polymorph: 20 meV per atom
# * theoretical density: 4.84 g/cm³
# * space-group type: No. 107
# * E: -17.5 eV/cell
# * total magnetic moment: 0.001 μB/atom
data_LaYSc
_chemical_formula_sum 'La1 Y1 Sc1'
_cell_length_a 7.734
_cell_length_b 7.734
_cell_length_c 7.734
_cell_angle_alpha 153.26
_cell_angle_beta 153.26
_cell_angle_gamma 38.17
_symmetry_space_group_name_H-M 'P 1'
_symmetry_Int_Tables_number 1
loop_
_symmetry_equiv_pos_as_xyz
'x,y,z'
loop_
_atom_site_label
_atom_site_type_symbol
_atom_site_fract_x
_atom_site_fract_y
_atom_site_fract_z
Sc1 Sc 0.669 0.669 0.000
La1 La 0.006 0.006 0.000
Y1 Y 0.325 0.325 0.000